Entry 1:
The following is a meta-GGA SCAN calculation of a crystal of LiInIr2 relaxed with PBEsol, from Alexandria via LeMat-Bulk.

Formation energy in meV/atom: 168
Calculated volume in Å³ per atom: 15.3

a = 2.801 Å, b = 2.801 Å, c = 8.697 Å
α = 90.00°, β = 90.00°, γ = 116.34°
Atoms (fractional coordinates):
Li 0.500 0.500 0.500
Ir 0.000 0.000 0.256
In 0.500 0.500 0.000
Ir 0.000 0.000 0.744



Entry 2:
The following is a meta-GGA SCAN calculation of a crystal of LiIn2Ir relaxed with PBEsol, from Alexandria via LeMat-Bulk.

Formation energy in meV/atom: -26
Distance to the lowest polymorph of the same formula in meV per atom: 381
Calculated volume in Å³ per atom: 18.5

a = 3.095 Å, b = 3.095 Å, c = 9.117 Å
α = 80.23°, β = 80.23°, γ = 60.00°
Atoms (fractional coordinates):
In 0.754 0.754 0.737
In 0.246 0.246 0.263
Ir 0.500 0.500 0.500
Li 0.000 0.000 0.000



Entry 3:
The following is a meta-GGA SCAN calculation of a crystal of LiIn2Ir relaxed with PBEsol, from Alexandria via LeMat-Bulk.

Formation energy in meV/atom: -407
Distance to the lowest polymorph of the same formula in meV per atom: 0
Calculated volume in Å³ per atom: 16.7

a = 4.559 Å, b = 4.559 Å, c = 4.559 Å
α = 60.00°, β = 60.00°, γ = 60.00°
Atoms (fractional coordinates):
Ir 0.000 0.000 0.000
In 0.250 0.250 0.250
In 0.750 0.750 0.750
Li 0.500 0.500 0.500



Entry 4:
The following is a meta-GGA SCAN calculation of a crystal of MgIn2Ir2 relaxed with PBEsol, from Alexandria via LeMat-Bulk.

Formation energy in meV/atom: -218
Calculated volume in Å³ per atom: 17.9

a = 3.138 Å, b = 7.559 Å, c = 7.559 Å
α = 90.00°, β = 90.00°, γ = 90.00°
Atoms (fractional coordinates):
In 0.500 0.345 0.155
Mg 0.000 0.000 0.000
Ir 0.000 0.643 0.143
Mg 0.000 0.500 0.500
Ir 0.000 0.143 0.357
In 0.500 0.845 0.345
Ir 0.000 0.357 0.857
Ir 0.000 0.857 0.643
In 0.500 0.655 0.845
In 0.500 0.155 0.655



Entry 5:
The following is a meta-GGA SCAN calculation of a crystal of MgInIr relaxed with PBEsol, from Alexandria via LeMat-Bulk.

Formation energy in meV/atom: -323
Calculated volume in Å³ per atom: 16.9

a = 3.096 Å, b = 3.713 Å, c = 5.035 Å
α = 111.63°, β = 107.90°, γ = 90.00°
Atoms (fractional coordinates):
Mg 0.321 0.321 0.643
Ir 0.672 0.672 0.343
In 0.007 0.007 0.014



Entry 6:
The following is a meta-GGA SCAN calculation of a crystal of MgInIr relaxed with PBEsol, from Alexandria via LeMat-Bulk.

Formation energy in meV/atom: -223
Calculated volume in Å³ per atom: 17.2

a = 2.987 Å, b = 4.470 Å, c = 4.470 Å
α = 120.00°, β = 90.00°, γ = 90.00°
Atoms (fractional coordinates):
Ir 0.681 0.667 0.333
Mg 0.355 0.333 0.667
In 0.963 0.000 0.000



Entry 7:
The following is a meta-GGA SCAN calculation of a crystal of MgNbInIr2 relaxed with PBEsol, from Alexandria via LeMat-Bulk.

Formation energy in meV/atom: 1035
Calculated volume in Å³ per atom: 23.6

a = 4.765 Å, b = 4.765 Å, c = 5.192 Å
α = 90.00°, β = 90.00°, γ = 90.00°
Atoms (fractional coordinates):
Mg 0.500 0.500 0.500
Nb 0.000 0.000 0.000
In 0.000 0.000 0.500
Ir 0.500 0.000 0.000
Ir 0.000 0.500 0.000



Entry 8:
The following is a meta-GGA SCAN calculation of a crystal of MnInIr2 relaxed with PBEsol, from Alexandria via LeMat-Bulk.

Formation energy in meV/atom: -169
Calculated volume in Å³ per atom: 15.0

a = 2.837 Å, b = 4.631 Å, c = 4.892 Å
α = 100.90°, β = 90.00°, γ = 107.84°
Each line ends with the local moment (μB).
Atoms (fractional coordinates):
Ir 0.257 0.515 0.272  0.11
In 0.500 0.000 0.000  -0.06
Ir 0.743 0.485 0.728  0.11
Mn 0.000 0.000 0.500  3.60



Entry 9:
The following is a meta-GGA SCAN calculation of a crystal of MnInIr2 relaxed with PBEsol, from Alexandria via LeMat-Bulk.

Formation energy in meV/atom: -122
Calculated volume in Å³ per atom: 15.0

a = 2.862 Å, b = 4.792 Å, c = 4.679 Å
α = 100.57°, β = 90.00°, γ = 107.38°
Each line ends with the local moment (μB).
Atoms (fractional coordinates):
In 0.748 0.496 0.242  -0.04
Ir 0.995 0.989 0.989  -0.09
Mn 0.508 0.015 0.535  3.64
Ir 0.250 0.499 0.735  -0.12



Entry 10:
The following is a meta-GGA SCAN calculation of a crystal of MnInIrN2 relaxed with PBEsol, from Alexandria via LeMat-Bulk.

Energy relative to the elements, uncorrected in eV/atom: 1.08
Calculated volume in Å³ per atom: 14.2

a = 3.607 Å, b = 3.607 Å, c = 5.444 Å
α = 90.00°, β = 90.00°, γ = 90.00°
Each line ends with the local moment (μB).
Atoms (fractional coordinates):
In 0.000 0.000 0.500  0.04
N 0.000 0.500 0.000  0.77
Ir 0.500 0.500 0.500  -0.66
N 0.500 0.000 0.000  0.77
Mn 0.000 0.000 0.000  -2.19



Entry 11:
The following is a meta-GGA SCAN calculation of a crystal of InMoIr2 relaxed with PBEsol, from Alexandria via LeMat-Bulk.

Formation energy in meV/atom: 97
Calculated volume in Å³ per atom: 15.7

a = 2.836 Å, b = 2.836 Å, c = 7.796 Å
α = 90.00°, β = 90.00°, γ = 90.00°
Atoms (fractional coordinates):
In 0.500 0.500 0.758
Ir 0.500 0.500 0.256
Ir 0.000 0.000 0.009
Mo 0.000 0.000 0.477



Entry 12:
The following is a meta-GGA SCAN calculation of a crystal of InMoIr2 relaxed with PBEsol, from Alexandria via LeMat-Bulk.

Formation energy in meV/atom: 30
Calculated volume in Å³ per atom: 15.6

a = 2.820 Å, b = 2.820 Å, c = 9.210 Å
α = 81.19°, β = 81.19°, γ = 60.00°
Atoms (fractional coordinates):
Ir 0.754 0.754 0.737
Ir 0.246 0.246 0.263
Mo 0.500 0.500 0.500
In 0.000 0.000 0.000



Q: What is the calculated volume in the tenth record?
A: 14.2 Å³ per atom